PBE PmAgO, relaxed; space-group type = No. 107; Fermi-level density of states = 0.05 states/eV/atom; size of the total moment = 0.00 μB per formula unit; VASP energy = -4.9987 eV/atom; energy relative to the elements, uncorrected = -0.81 eV per atom; energy above the most stable polymorph in this dataset = 1138.7 meV per atom
1.0
4.024 0.000 0.000
0.000 4.024 0.000
-2.012 -2.012 4.055
Pm O Ag
1 1 1
Direct
0.577 0.577 0.155
0.320 0.320 0.639
0.953 0.953 0.906

---

PBE PmAgO, relaxed; space-group type = No. 129; Fermi-level density of states = 0.18 states/eV/atom; size of the total moment = 0.00 μB per formula unit; VASP energy = -6.1375 eV/atom; energy relative to the elements, uncorrected = -1.95 eV per atom; energy above the most stable polymorph in this dataset = 0.0 meV per atom
1.0
3.976 0.000 -0.001
0.000 3.976 0.001
0.001 -0.001 7.689
Pm Ag O
2 2 2
Direct
0.750 0.250 0.653
0.250 0.750 0.347
0.250 0.750 0.935
0.750 0.250 0.065
0.250 0.250 0.500
0.750 0.750 0.500

---

PBE PmAgO4, relaxed; space-group type = No. 8; Fermi-level density of states = 0.34 states/eV/atom; size of the total moment = 1.88 μB per formula unit; VASP energy = -5.8342 eV/atom; energy relative to the elements, uncorrected = -1.26 eV per atom
1.0
-2.485 2.483 -1.418
-1.232 -3.748 0.655
-1.411 1.952 5.890
Ag O Pm
1 4 1
Direct
0.425 0.851 0.478
0.101 0.202 0.406
0.398 0.796 0.086
0.664 0.329 0.785
0.839 0.678 0.707
0.073 0.145 0.038